[1]
# K6Rb2HPd GGA-PBE optimized geometry
# Space-group type: Cm (8)
# DFT total energy, eV/atom: -1.6558
data_K6Rb2HPd
_chemical_formula_sum 'K6 Rb2 H1 Pd1'
_space_group_name_H-M_alt 'P 1'
_space_group_IT_number 1
_cell_length_a 8.7824
_cell_length_b 8.7825
_cell_length_c 9.4057
_cell_angle_alpha 117.94
_cell_angle_beta 117.94
_cell_angle_gamma 89.86
loop_
_space_group_symop_operation_xyz
'x,y,z'
loop_
_atom_site_label
_atom_site_fract_x
_atom_site_fract_y
_atom_site_fract_z
_atom_site_occupancy
Rb1 0.2615 0.7630 0.5235 1
Rb2 0.7625 0.2620 0.5235 1
K1 0.2461 0.2466 0.4914 1
K2 0.2382 0.2387 0.0019 1
K3 0.7640 0.2377 0.0011 1
K4 0.7037 0.7042 0.4077 1
K5 0.7632 0.7637 0.0014 1
K6 0.2372 0.7645 0.0011 1
Pd1 0.4742 0.4747 0.9492 1
H1 0.0485 0.0490 0.0971 1

[2]
# Ge2P3 GGA-PBE optimized geometry
# Space-group type: R-3c (167)
# DFT total energy, eV/atom: -4.7165
# Energy of formation, eV per atom: 0.38
data_Ge2P3
_chemical_formula_sum 'Ge4 P6'
_space_group_name_H-M_alt 'P 1'
_space_group_IT_number 1
_cell_length_a 6.1236
_cell_length_b 6.1236
_cell_length_c 6.8898
_cell_angle_alpha 63.62
_cell_angle_beta 63.62
_cell_angle_gamma 60.00
loop_
_space_group_symop_operation_xyz
'x,y,z'
loop_
_atom_site_label
_atom_site_fract_x
_atom_site_fract_y
_atom_site_fract_z
_atom_site_occupancy
Ge1 0.8601 0.8601 0.4198 1
Ge2 0.6399 0.6399 0.0802 1
Ge3 0.1399 0.1399 0.5802 1
Ge4 0.3601 0.3601 0.9198 1
P1 0.0223 0.7500 0.7500 1
P2 0.5223 0.9777 0.2500 1
P3 0.9777 0.2500 0.2500 1
P4 0.2500 0.5223 0.2500 1
P5 0.7500 0.4777 0.7500 1
P6 0.4777 0.0223 0.7500 1